VTe2NF PBE with a Hubbard U relaxed; offset from the most stable computed form = 1116 meV/atom; SG = P4/mmm, No. 123
1.0
4.836 0.000 0.000
0.000 4.836 0.000
0.000 0.000 4.019
N F Te V
1 1 2 1
direct
0.000 0.000 0.500
0.000 0.000 0.000
0.000 0.500 0.000
0.500 0.000 0.000
0.500 0.500 0.500